No. 1
! Mg5MnSb4 | the Alexandria database | PBEsol | optimized geometry; values from VASP
&SYSTEM
  ibrav = 0, nat = 10, ntyp = 3
/
ATOMIC_SPECIES
Sb 121.76 Sb.upf
Mn 54.94 Mn.upf
Mg 24.30 Mg.upf
CELL_PARAMETERS angstrom
-2.378 2.499 2.899
-2.096 -2.972 -2.660
1.605 -10.094 10.015
ATOMIC_POSITIONS angstrom
Sb -0.857 -8.304 9.955
Sb 0.978 -6.150 6.102
Sb 0.187 -1.179 1.169
Sb -1.667 -3.207 4.897
Mn 0.503 -3.165 3.140
Mg -1.983 -1.223 2.929
Mg -1.393 -6.161 4.167
Mg -2.187 -1.172 -0.784
Mg -1.187 -6.226 7.893
Mg 1.309 -8.233 8.169
! - Total moment: 0.475 μB per atom
! - Energy: -3.870 eV per atom
! - DOS(E_F): 0.16 states/eV/atom
! - ΔE_f (raw): -0.212 eV per atom

No. 2
! AlNiAg2Sb | the Alexandria database | PBEsol | optimized geometry; values from VASP
&SYSTEM
  ibrav = 0, nat = 5, ntyp = 4
/
ATOMIC_SPECIES
Ag 107.87 Ag.upf
Sb 121.76 Sb.upf
Al 26.98 Al.upf
Ni 58.69 Ni.upf
CELL_PARAMETERS angstrom
4.539 0.000 0.000
0.000 4.844 0.000
0.000 0.000 4.844
ATOMIC_POSITIONS angstrom
Ag 0.000 0.000 2.422
Ag 0.000 2.422 0.000
Sb 2.270 0.000 0.000
Al 2.270 2.422 2.422
Ni 0.000 0.000 0.000
! - Total moment: 0.000 μB per atom
! - Energy: -3.814 eV per atom
! - DOS(E_F): 0.51 states/eV/atom
! - ΔE_f (raw): 0.471 eV per atom